# 1
{"formula": "BaLuAgTe2Se", "functional": "PBE", "state": "relaxed", "final_energy_ev_per_atom": -4.486, "crystal_system": "orthorhombic", "cell": [[2.4059, 7.0665, -2.3883], [-4.9320, -4.1731, 4.4371], [7.1011, 0.3665, 8.2377]], "species": ["Te", "Ag", "Te", "Lu", "Te", "Ba", "Lu", "Te", "Ba", "Ag", "Se", "Se"], "frac_coords": [[0.6394, 0.3606, 0.0463], [0.4710, 0.5290, 0.7500], [0.3606, 0.6394, 0.9537], [0.0000, 0.0000, 0.5000], [0.6394, 0.3606, 0.4537], [0.2600, 0.7400, 0.2500], [0.0000, 0.0000, 0.0000], [0.3606, 0.6394, 0.5463], [0.7400, 0.2600, 0.7500], [0.5290, 0.4710, 0.2500], [0.0728, 0.9272, 0.7500], [0.9272, 0.0728, 0.2500]]}


# 2
{"formula": "NbCuNiHg", "functional": "PBE", "state": "relaxed", "final_energy_ev_per_atom": -4.635, "formation_enthalpy_0k_mev_per_atom": 284, "crystal_system": "cubic", "cell": [[0.0000, 3.1381, 3.1381], [3.1381, 0.0000, 3.1381], [3.1381, 3.1381, 0.0000]], "species": ["Cu", "Hg", "Ni", "Nb"], "frac_coords": [[0.7500, 0.7500, 0.7500], [0.2500, 0.2500, 0.2500], [0.5000, 0.5000, 0.5000], [0.0000, 0.0000, 0.0000]]}


# 3
{"formula": "ErCu", "functional": "PBE", "state": "relaxed", "final_energy_ev_per_atom": -3.625, "formation_enthalpy_0k_mev_per_atom": 515, "crystal_system": "cubic", "cell": [[0.0000, 3.0647, 3.0647], [3.0647, 0.0000, 3.0647], [3.0647, 3.0647, 0.0000]], "species": ["Cu", "Er"], "frac_coords": [[0.0000, 0.0000, 0.0000], [0.2500, 0.2500, 0.2500]]}


# 4
{"formula": "Li3Lu3SiGe2", "functional": "PBE", "state": "relaxed", "final_energy_ev_per_atom": -4.425, "crystal_system": "hexagonal", "cell": [[6.8823, 0.0000, 0.0000], [-3.4412, 5.9603, 0.0000], [0.0000, 0.0000, 4.1863]], "species": ["Si", "Lu", "Ge", "Li", "Li", "Li", "Lu", "Ge", "Lu"], "frac_coords": [[0.0000, 0.0000, 0.0000], [0.0000, 0.4278, 0.0000], [0.6667, 0.3333, 0.5000], [0.7678, 0.0000, 0.5000], [0.2322, 0.2322, 0.5000], [0.0000, 0.7678, 0.5000], [0.4278, 0.0000, 0.0000], [0.3333, 0.6667, 0.5000], [0.5722, 0.5722, 0.0000]]}